BaNbAu PBE relaxed; DFT formation energy = 5.41 eV/f.u.; VASP energy = -0.2416 Ry/atom; distance to the lowest polymorph of the same formula = 1827 meV/atom
1.0
-0.442 2.029 4.941
-3.971 -2.961 -2.046
5.684 -11.135 5.080
Nb Au Ba
2 2 2
Direct
0.000 0.000 0.000
0.000 0.000 0.500
0.333 0.667 0.250
0.667 0.333 0.750
0.000 0.000 0.250
0.000 0.000 0.750